Entry 1:
# CaHfMgGa2

A PBEsol-optimized structure of CaHfMgGa2 (SCAN, Alexandria).

Unit cell a=5.1634 b=5.1634 c=5.4419 alpha=90.00 beta=90.00 gamma=90.00
Closest atoms and distances in Å follow each position.
Fractional positions:
Ca  0.0000  0.0000  0.5000  2 Hf 2.72
Hf  0.0000  0.0000  0.0000  4 Ga 2.58, 2 Ca 2.72
Mg  0.5000  0.5000  0.5000  4 Ca 3.65, 8 Ga 3.75
Ga  0.0000  0.5000  0.0000  2 Hf 2.58
Ga  0.5000  0.0000  0.0000  2 Hf 2.58

space-group type	No. 123
volume	145.1	Å³/cell
energy of formation	672	meV/atom
VASP energy	-21.329	eV/atom

Entry 2:
# CaGa3Hg

A PBEsol-optimized structure of CaGa3Hg (SCAN, Alexandria).

Unit cell a=5.1276 b=5.1276 c=5.1276 alpha=90.00 beta=90.00 gamma=90.00
Closest atoms and distances in Å follow each position.
Fractional positions:
Ca  0.5000  0.5000  0.5000  12 Ga 3.63
Hg  0.0000  0.0000  0.0000  6 Ga 2.56
Ga  0.0000  0.5000  0.0000  2 Hg 2.56
Ga  0.0000  0.0000  0.5000  2 Hg 2.56
Ga  0.5000  0.0000  0.0000  2 Hg 2.56

space-group type	No. 221
volume	134.8	Å³/cell
energy of formation	239	meV/atom
VASP energy	-25.135	eV/atom

Entry 3:
# CaGa3I

A PBEsol-optimized structure of CaGa3I (SCAN, Alexandria).

Unit cell a=5.6420 b=5.6420 c=5.6420 alpha=90.00 beta=90.00 gamma=90.00
Closest atoms and distances in Å follow each position.
Fractional positions:
I  0.0000  0.0000  0.0000  6 Ga 2.82
Ca  0.5000  0.5000  0.5000  12 Ga 3.99
Ga  0.0000  0.5000  0.0000  2 I 2.82
Ga  0.0000  0.0000  0.5000  2 I 2.82
Ga  0.5000  0.0000  0.0000  2 I 2.82

space-group type	No. 221
energy relative to the elements, uncorrected	0.545	eV per atom
volume	179.6	Å³/cell
VASP energy	-18.543	eV/atom

Entry 4:
# Ca2Ga2I

A PBEsol-optimized structure of Ca2Ga2I (SCAN, Alexandria).

Unit cell a=3.9121 b=3.9121 c=9.1748 alpha=102.31 beta=102.31 gamma=90.00
Closest atoms and distances in Å follow each position.
Fractional positions:
I  0.0000  0.0000  0.0000  8 Ca 3.43
Ca  0.3838  0.3838  0.7677  4 Ga 3.05
Ca  0.6162  0.6162  0.2323  4 Ga 3.05
Ga  0.2500  0.7500  0.5000  4 Ga 2.77, 4 Ca 3.05
Ga  0.7500  0.2500  0.5000  4 Ga 2.77, 4 Ca 3.05

space-group type	No. 139
energy relative to the elements, uncorrected	-0.567	eV per atom
volume	133.9	Å³/cell
VASP energy	-18.320	eV/atom

Entry 5:
# Ca2GaMoI

A PBEsol-optimized structure of Ca2GaMoI (SCAN, Alexandria).

Unit cell a=5.5894 b=5.6718 c=5.6718 alpha=90.00 beta=90.00 gamma=90.00
Closest atoms and distances in Å follow each position.
Fractional positions:
I  0.0000  0.0000  0.0000  2 Ga 2.79, 4 Ca 2.84
Mo  0.5000  0.5000  0.5000  8 Ca 3.98, 4 Ga 4.01
Ca  0.0000  0.0000  0.5000  2 I 2.84
Ca  0.0000  0.5000  0.0000  2 I 2.84
Ga  0.5000  0.0000  0.0000  2 I 2.79

space-group type	No. 123
energy relative to the elements, uncorrected	0.854	eV per atom
volume	179.8	Å³/cell
VASP energy	-20.606	eV/atom

Entry 6:
# CaGaIN2

A PBEsol-optimized structure of CaGaIN2 (SCAN, Alexandria).

Unit cell a=4.0367 b=4.0367 c=5.6320 alpha=90.00 beta=90.00 gamma=90.00
Closest atoms and distances in Å follow each position.
Fractional positions:
I  0.0000  0.0000  0.5000  2 Ga 2.82, 4 Ca 2.85
Ca  0.5000  0.5000  0.5000  4 I 2.85
Ga  0.0000  0.0000  0.0000  4 N 2.02
N  0.0000  0.5000  0.0000  2 Ga 2.02
N  0.5000  0.0000  0.0000  2 Ga 2.02

space-group type	No. 123
energy relative to the elements, uncorrected	0.496	eV per atom
volume	91.8	Å³/cell
VASP energy	-15.771	eV/atom

Entry 7:
# CaGaIO2

A PBEsol-optimized structure of CaGaIO2 (SCAN, Alexandria).

Unit cell a=4.0637 b=4.0637 c=5.2900 alpha=90.00 beta=90.00 gamma=90.00
Closest atoms and distances in Å follow each position.
Fractional positions:
I  0.0000  0.0000  0.5000  2 Ga 2.64, 4 Ca 2.87
Ca  0.5000  0.5000  0.5000  4 I 2.87
O  0.0000  0.5000  0.0000  2 Ga 2.03
O  0.5000  0.0000  0.0000  2 Ga 2.03
Ga  0.0000  0.0000  0.0000  4 O 2.03

space-group type	No. 123
energy relative to the elements, uncorrected	-1.126	eV per atom
volume	87.4	Å³/cell
VASP energy	-16.169	eV/atom

Entry 8:
# CaTaIn2Ga

A PBEsol-optimized structure of CaTaIn2Ga (SCAN, Alexandria).

Unit cell a=4.9451 b=5.4897 c=5.4897 alpha=90.00 beta=90.00 gamma=90.00
Closest atoms and distances in Å follow each position.
Fractional positions:
Ca  0.0000  0.0000  0.0000  2 Ta 2.47, 4 In 2.74
In  0.0000  0.0000  0.5000  2 Ca 2.74
In  0.0000  0.5000  0.0000  2 Ca 2.74
Ga  0.5000  0.5000  0.5000  8 In 3.69, 4 Ta 3.88
Ta  0.5000  0.0000  0.0000  2 Ca 2.47

space-group type	No. 123
volume	149.0	Å³/cell
energy of formation	1704	meV/atom
VASP energy	-30.169	eV/atom

Entry 9:
# CaGa2Ir2

A PBEsol-optimized structure of CaGa2Ir2 (SCAN, Alexandria).

Unit cell a=2.8964 b=7.4487 c=7.4487 alpha=90.00 beta=90.00 gamma=90.00
Closest atoms and distances in Å follow each position.
Fractional positions:
Ca  0.0000  0.0000  0.0000  4 Ir 2.86, 2 Ca 2.90, 8 Ga 3.18
Ca  0.0000  0.5000  0.5000  4 Ir 2.86, 2 Ca 2.90, 8 Ga 3.18
Ir  0.0000  0.3568  0.8568  6 Ga 2.60-2.63, 2 Ca 2.86, 2 Ir 2.90
Ir  0.0000  0.8568  0.6432  6 Ga 2.60-2.63, 2 Ca 2.86, 2 Ir 2.90
Ir  0.0000  0.6432  0.1432  6 Ga 2.60-2.63, 2 Ca 2.86, 2 Ir 2.90
Ir  0.0000  0.1432  0.3568  6 Ga 2.60-2.63, 2 Ca 2.86, 2 Ir 2.90
Ga  0.5000  0.1514  0.6514  6 Ir 2.60-2.63, 2 Ga 2.90
Ga  0.5000  0.6514  0.8486  6 Ir 2.60-2.63, 2 Ga 2.90
Ga  0.5000  0.8486  0.3486  6 Ir 2.60-2.63, 2 Ga 2.90
Ga  0.5000  0.3486  0.1514  6 Ir 2.60-2.63, 2 Ga 2.90

space-group type	No. 127
volume	160.7	Å³/cell
energy of formation	-575	meV/atom
VASP energy	-37.486	eV/atom

Entry 10:
# CaGa2Ir2

A PBEsol-optimized structure of CaGa2Ir2 (SCAN, Alexandria).

Unit cell a=4.1621 b=4.1621 c=6.0237 alpha=110.21 beta=110.21 gamma=90.00
Closest atoms and distances in Å follow each position.
Fractional positions:
Ca  0.0000  0.0000  0.0000  8 Ir 3.19, 8 Ga 3.35
Ir  0.3838  0.3838  0.7675  1 Ir 2.44, 4 Ga 2.51
Ir  0.6162  0.6162  0.2325  1 Ir 2.44, 4 Ga 2.51
Ga  0.2500  0.7500  0.5000  4 Ir 2.51
Ga  0.7500  0.2500  0.5000  4 Ir 2.51

space-group type	No. 139
volume	91.0	Å³/cell
energy of formation	-677	meV/atom
VASP energy	-37.588	eV/atom

Entry 11:
# Ca2GaIr2

A PBEsol-optimized structure of Ca2GaIr2 (SCAN, Alexandria).

Unit cell a=4.5882 b=6.5392 c=6.5392 alpha=90.00 beta=90.00 gamma=90.00
Closest atoms and distances in Å follow each position.
Fractional positions:
Ca  0.5000  0.1732  0.6732  6 Ir 2.90-3.07, 1 Ca 3.20
Ca  0.5000  0.6732  0.8268  6 Ir 2.90-3.07, 1 Ca 3.20
Ca  0.5000  0.8268  0.3268  6 Ir 2.90-3.07, 1 Ca 3.20
Ca  0.5000  0.3268  0.1732  6 Ir 2.90-3.07, 1 Ca 3.20
Ir  0.0000  0.3642  0.8642  1 Ir 2.51, 2 Ga 2.54
Ir  0.0000  0.8642  0.6358  1 Ir 2.51, 2 Ga 2.54
Ir  0.0000  0.6358  0.1358  1 Ir 2.51, 2 Ga 2.54
Ir  0.0000  0.1358  0.3642  1 Ir 2.51, 2 Ga 2.54
Ga  0.0000  0.0000  0.0000  4 Ir 2.54
Ga  0.0000  0.5000  0.5000  4 Ir 2.54

space-group type	No. 127
volume	196.2	Å³/cell
energy of formation	-585	meV/atom
VASP energy	-36.159	eV/atom